A geometry-optimized FeCuF structure, computed with GGA+U.

Structure (POSCAR):
```
FeCuF
1.0
2.854 -0.082 0.022
-0.159 4.815 0.003
-1.324 -0.708 5.722
Fe Cu F
2 2 2
direct
0.215 0.855 0.270 Fe
0.916 0.104 0.684 Fe
0.725 0.366 0.349 Cu
0.392 0.618 0.653 Cu
0.573 0.640 0.032 F
0.101 0.127 0.019 F
```

Properties
The excess energy over the best structure of this formula in the dataset comes out at 182 meV per atom. The total energy comes out at -0.3329 Ry/atom. Its symmetry is P1. Its total magnetization is 3.666 μB per formula unit.